No. 1
This record from the Alexandria database describes an optimized crystal structure of SrY2Te. The functional is PBE-GGA.

Values from the calculation:
- uncorrected energy (eV per formula unit) = -19.5
- raw formation energy (meV per atom) = -440
- theoretical density (g/cm³) = 4.6
- SG = No. 123

abc: 3.8241 3.8241 9.6015
angles: 90.00 90.00 90.00
Element x y z (fractional)
Sr  0.0000  0.0000  0.0000
Y  0.5000  0.5000  0.3148
Y  0.5000  0.5000  0.6852
Te  0.0000  0.0000  0.5000


No. 2
This record from the Alexandria database describes an optimized crystal structure of SrY2Te. The functional is PBE-GGA.

Values from the calculation:
- uncorrected energy (eV per formula unit) = -19.5
- raw formation energy (meV per atom) = -429
- theoretical density (g/cm³) = 4.9
- SG = No. 44

abc: 6.8663 6.8663 6.8663
angles: 146.23 131.93 60.03
Element x y z (fractional)
Sr  0.0000  0.0000  0.0000
Y  0.2916  0.7916  0.5000
Y  0.5698  0.5698  0.0000
Te  0.7700  0.2700  0.5000